# AgSn2H2

A relaxed AgSn2H2 crystal (PBE, Alexandria via LeMat-Bulk).

Cell and atoms, written as POSCAR:
```
AgSn2H2
1.0
-1.7292 1.7292 6.6899
1.7292 -1.7292 6.6899
1.7292 1.7292 -6.6899
Ag Sn H
1 2 2
direct
0.0000 0.0000 0.0000 Ag
0.3593 0.3593 0.0000 Sn
0.6407 0.6407 0.0000 Sn
0.2500 0.7500 0.5000 H
0.7500 0.2500 0.5000 H
```

Calculated values
- Electronic total energy: -15.804 eV/cell
- Polymorph energy (0 for the lowest one): 0.003 eV per atom
- Magnetic moment: 0.000 μB per formula unit

# Tc2NiBr

A relaxed Tc2NiBr crystal (PBE, Alexandria via LeMat-Bulk).

Cell and atoms, written as POSCAR:
```
Tc2NiBr
1.0
0.0000 3.0464 3.0464
3.0464 0.0000 3.0464
3.0464 3.0464 0.0000
Tc Ni Br
2 1 1
direct
0.2500 0.2500 0.2500 Tc
0.7500 0.7500 0.7500 Tc
0.0000 0.0000 0.0000 Ni
0.5000 0.5000 0.5000 Br
```

Calculated values
- Raw formation energy: 78.0 kJ/mol of atoms
- Electronic total energy: -24.954 eV/cell
- Polymorph energy (0 for the lowest one): 0.425 eV per atom
- Magnetic moment: 0.000 μB per formula unit

# LiTl2AgF8

A relaxed LiTl2AgF8 crystal (PBE, Alexandria via LeMat-Bulk).

Cell and atoms, written as POSCAR:
```
LiTl2AgF8
1.0
4.1893 0.0000 0.0000
-0.0050 5.6709 0.0000
-0.2025 -0.3594 7.3361
Li Tl Ag F
1 2 1 8
direct
0.0000 0.0000 0.0000 Li
0.4244 0.4802 0.2430 Tl
0.5756 0.5198 0.7570 Tl
0.0000 0.0000 0.5000 Ag
0.0851 0.3633 0.7465 F
0.1269 0.1624 0.2201 F
0.3840 0.7291 0.0119 F
0.4209 0.7235 0.5050 F
0.5791 0.2765 0.4950 F
0.6160 0.2709 0.9881 F
0.8731 0.8376 0.7799 F
0.9149 0.6367 0.2535 F
```

Calculated values
- Raw formation energy: -179.1 kJ/mol of atoms
- Electronic total energy: -46.741 eV/cell
- Magnetic moment: 0.094 μB per formula unit

# DyTm2IO8

A relaxed DyTm2IO8 crystal (PBE, Alexandria via LeMat-Bulk).

Cell and atoms, written as POSCAR:
```
DyTm2IO8
1.0
4.9744 0.0000 0.0000
0.0000 6.7744 0.0000
-0.0489 0.0000 4.9750
Dy Tm I O
1 2 1 8
direct
0.0000 0.0000 0.0000 Dy
0.5000 0.2471 0.5000 Tm
0.5000 0.7529 0.5000 Tm
0.0000 0.5000 0.0000 I
0.1835 0.2915 0.8178 O
0.1835 0.7085 0.8178 O
0.2709 0.5000 0.2724 O
0.3102 0.0000 0.3117 O
0.6898 0.0000 0.6883 O
0.7291 0.5000 0.7276 O
0.8165 0.2915 0.1822 O
0.8165 0.7085 0.1822 O
```

Calculated values
- Raw formation energy: -229.8 kJ/mol of atoms
- Electronic total energy: -83.348 eV/cell
- Magnetic moment: 0.000 μB per formula unit

# K4Tb3TmTe8

A relaxed K4Tb3TmTe8 crystal (PBE, Alexandria via LeMat-Bulk).

Cell and atoms, written as POSCAR:
```
K4Tb3TmTe8
1.0
4.4962 2.5959 8.2423
-4.4962 2.5959 8.2423
0.0000 -5.1918 8.2423
K Tb Tm Te
4 3 1 8
direct
0.0000 0.0000 0.0000 K
0.0000 0.5000 0.5000 K
0.5000 0.0000 0.5000 K
0.5000 0.5000 0.0000 K
0.0000 0.0000 0.5000 Tb
0.0000 0.5000 0.0000 Tb
0.5000 0.0000 0.0000 Tb
0.5000 0.5000 0.5000 Tm
0.2366 0.2366 0.2366 Te
0.2395 0.7343 0.7343 Te
0.2657 0.2657 0.7605 Te
0.2657 0.7605 0.2657 Te
0.7343 0.2395 0.7343 Te
0.7343 0.7343 0.2395 Te
0.7605 0.2657 0.2657 Te
0.7634 0.7634 0.7634 Te
```

Calculated values
- Raw formation energy: -134.6 kJ/mol of atoms
- Electronic total energy: -70.200 eV/cell
- Magnetic moment: 0.000 μB per formula unit

# ScSbSe

A relaxed ScSbSe crystal (PBE, Alexandria via LeMat-Bulk).

Cell and atoms, written as POSCAR:
```
ScSbSe
1.0
5.0310 -1.8742 0.0000
5.0310 1.8742 0.0000
-3.3002 0.0000 7.6006
Sc Sb Se
2 2 2
direct
0.1493 0.1493 0.1631 Sc
0.8507 0.8507 0.8369 Sc
0.1609 0.1609 0.5469 Sb
0.8391 0.8391 0.4531 Sb
0.4143 0.4143 0.1184 Se
0.5857 0.5857 0.8816 Se
```

Calculated values
- Raw formation energy: -96.3 kJ/mol of atoms
- Electronic total energy: -33.866 eV/cell
- Magnetic moment: 0.000 μB per formula unit

# Dy4AlOs

A relaxed Dy4AlOs crystal (PBE, Alexandria via LeMat-Bulk).

Cell and atoms, written as POSCAR:
```
Dy4AlOs
1.0
0.0000 6.7416 6.7416
6.7416 0.0000 6.7416
6.7416 6.7416 0.0000
Dy Al Os
16 4 4
direct
0.0553 0.0553 0.4447 Dy
0.0553 0.4447 0.0553 Dy
0.0553 0.4447 0.4447 Dy
0.1913 0.1913 0.8087 Dy
0.1913 0.8087 0.1913 Dy
0.1913 0.8087 0.8087 Dy
0.2003 0.5999 0.5999 Dy
0.4447 0.0553 0.0553 Dy
0.4447 0.0553 0.4447 Dy
0.4447 0.4447 0.0553 Dy
0.5999 0.2003 0.5999 Dy
0.5999 0.5999 0.2003 Dy
0.5999 0.5999 0.5999 Dy
0.8087 0.1913 0.1913 Dy
0.8087 0.1913 0.8087 Dy
0.8087 0.8087 0.1913 Dy
0.5208 0.8264 0.8264 Al
0.8264 0.5208 0.8264 Al
0.8264 0.8264 0.5208 Al
0.8264 0.8264 0.8264 Al
0.3891 0.3891 0.3891 Os
0.3891 0.3891 0.8326 Os
0.3891 0.8326 0.3891 Os
0.8326 0.3891 0.3891 Os
```

Calculated values
- Electronic total energy: -140.818 eV/cell
- Polymorph energy (0 for the lowest one): 0.000 eV per atom
- Magnetic moment: 0.000 μB per formula unit
- DFT formation energy: -1.8 eV/f.u.